No. 1
First-principles (GGA-PBE) data for Tm2Sb after structural relaxation, as listed in OQMD.

Structure (extended XYZ):
```
12
Lattice="6.5742 0.0000 0.0000 0.0000 4.7599 0.0000 0.0000 0.0000 10.1406" Properties=species:S:1:pos:R:3 pbc="T T T"
Tm 0.5708 1.1900 2.1957
Tm 1.0630 1.1900 5.5970
Tm 2.2241 3.5699 0.5267
Tm 2.7163 3.5699 7.2660
Tm 3.8578 1.1900 2.8746
Tm 4.3501 1.1900 9.6139
Tm 5.5112 3.5699 4.5436
Tm 6.0034 3.5699 7.9449
Sb 1.1891 1.1900 8.8810
Sb 2.0980 3.5699 3.8107
Sb 4.4762 1.1900 6.3299
Sb 5.3851 3.5699 1.2596
```

## Properties
- total magnetic moment (Bohr magnetons per cell) = 0.06
- E (Ry/atom) = -0.3700
- mass density (g/cm3) = 9.62

***

No. 2
First-principles (GGA-PBE) data for TmUSb after structural relaxation, as listed in OQMD.

Structure (extended XYZ):
```
3
Lattice="0.0000 3.5943 3.5943 3.5943 0.0000 3.5943 3.5943 3.5943 0.0000" Properties=species:S:1:pos:R:3 pbc="T T T"
Tm 0.0000 0.0000 0.0000
U 1.7972 1.7972 1.7972
Sb 5.3915 5.3915 5.3915
```

## Properties
- total magnetic moment (Bohr magnetons per cell) = 5.29
- E (Ry/atom) = -0.4442
- mass density (g/cm3) = 9.45

***

No. 3
First-principles (GGA-PBE) data for YTmSb after structural relaxation, as listed in OQMD.

Structure (extended XYZ):
```
3
Lattice="0.0000 3.5639 3.5639 3.5639 0.0000 3.5639 3.5639 3.5639 0.0000" Properties=species:S:1:pos:R:3 pbc="T T T"
Y 0.0000 0.0000 0.0000
Tm 3.5639 3.5639 3.5639
Sb 5.3459 5.3459 5.3459
```

## Properties
- total magnetic moment (Bohr magnetons per cell) = 0.15
- E (Ry/atom) = -0.4058
- mass density (g/cm3) = 6.96

***

No. 4
First-principles (GGA-PBE) data for YTm2Sb3 after structural relaxation, as listed in OQMD.

Structure (extended XYZ):
```
6
Lattice="4.3526 0.0000 0.0000 -2.1763 3.7695 0.0000 0.0000 0.0000 10.6594" Properties=species:S:1:pos:R:3 pbc="T T T"
Y 0.0000 0.0000 0.0000
Tm 0.0000 2.5130 7.0915
Tm 2.1763 1.2565 3.5678
Sb 0.0000 0.0000 5.3297
Sb 0.0000 2.5130 1.8124
Sb 2.1763 1.2565 8.8470
```

## Properties
- total magnetic moment (Bohr magnetons per cell) = 0.01
- E (Ry/atom) = -0.4211
- mass density (g/cm3) = 7.52

***

No. 5
First-principles (GGA-PBE) data for YTmZr2Sb2 after structural relaxation, as listed in OQMD.

Structure (extended XYZ):
```
6
Lattice="-2.1332 2.1332 8.2700 2.1332 -2.1332 8.2700 2.1332 2.1332 -8.2700" Properties=species:S:1:pos:R:3 pbc="T T T"
Y 0.0000 0.0000 0.0000
Tm 0.0000 0.0000 5.8412
Zr 2.1332 0.0000 2.9395
Zr 0.0000 2.1332 2.9395
Sb 0.0000 0.0000 8.9852
Sb 0.0000 0.0000 13.4179
```

## Properties
- total magnetic moment (Bohr magnetons per cell) = 0.00
- E (Ry/atom) = -0.5028
- mass density (g/cm3) = 7.54

***

No. 6
First-principles (GGA-PBE) data for Tm5Zn2Sb after structural relaxation, as listed in OQMD.

Structure (extended XYZ):
```
16
Lattice="-3.9823 3.9823 6.2980 3.9823 -3.9823 6.2980 3.9823 3.9823 -6.2980" Properties=species:S:1:pos:R:3 pbc="T T T"
Tm 0.0000 0.0000 0.0000
Tm 5.2089 1.2266 -1.8166
Tm 1.2266 2.7557 -1.8166
Tm 5.2089 1.2266 1.8166
Tm 1.2266 2.7557 1.8166
Tm 0.0000 0.0000 6.2980
Tm 2.7557 1.2266 4.4814
Tm -1.2266 2.7557 4.4814
Tm 2.7557 1.2266 8.1146
Tm -1.2266 2.7557 8.1146
Zn 2.8859 1.0964 0.0000
Zn 2.8859 -1.0964 6.2980
Zn 1.0964 5.0787 0.0000
Zn 1.0964 2.8859 6.2980
Sb 0.0000 0.0000 3.1490
Sb 0.0000 0.0000 9.4470
```

## Properties
- total magnetic moment (Bohr magnetons per cell) = 0.00
- E (Ry/atom) = -0.3017
- mass density (g/cm3) = 9.12

***

No. 7
First-principles (GGA-PBE) data for TmZrSb after structural relaxation, as listed in OQMD.

Structure (extended XYZ):
```
3
Lattice="0.0000 3.4557 3.4557 3.4557 0.0000 3.4557 3.4557 3.4557 0.0000" Properties=species:S:1:pos:R:3 pbc="T T T"
Tm 0.0000 0.0000 0.0000
Zr 3.4557 3.4557 3.4557
Sb 1.7278 1.7278 1.7278
```

## Properties
- total magnetic moment (Bohr magnetons per cell) = 0.97
- E (Ry/atom) = -0.4416
- mass density (g/cm3) = 7.68

***

No. 8
First-principles (GGA-PBE) data for Tm2ZrSb3 after structural relaxation, as listed in OQMD.

Structure (extended XYZ):
```
6
Lattice="4.2486 0.0000 0.0000 -2.1243 3.6794 0.0000 0.0000 0.0000 10.5087" Properties=species:S:1:pos:R:3 pbc="T T T"
Tm 0.0000 2.4529 1.7982
Tm 2.1243 1.2265 8.7106
Zr 0.0000 0.0000 5.2544
Sb 0.0000 0.0000 0.0000
Sb 0.0000 2.4529 6.9186
Sb 2.1243 1.2265 3.5901
```

## Properties
- total magnetic moment (Bohr magnetons per cell) = 0.01
- E (Ry/atom) = -0.4320
- mass density (g/cm3) = 8.03

***

No. 9
First-principles (GGA-PBE) data for TmZrSb after structural relaxation, as listed in OQMD.

Structure (extended XYZ):
```
6
Lattice="-2.0988 2.0988 8.2380 2.0988 -2.0988 8.2380 2.0988 2.0988 -8.2380" Properties=species:S:1:pos:R:3 pbc="T T T"
Tm 2.0988 0.0000 0.0000
Tm 0.0000 2.0988 0.0000
Zr 0.0000 0.0000 2.9694
Zr 0.0000 0.0000 13.5067
Sb 0.0000 0.0000 5.9135
Sb 0.0000 0.0000 10.5626
```

## Properties
- total magnetic moment (Bohr magnetons per cell) = 0.01
- E (Ry/atom) = -0.4592
- mass density (g/cm3) = 8.74

***

No. 10
First-principles (GGA-PBE) data for USb after structural relaxation, as listed in OQMD.

Structure (extended XYZ):
```
8
Lattice="5.9479 0.0000 0.0000 0.0000 4.6559 0.0000 0.0000 0.0000 7.8888" Properties=species:S:1:pos:R:3 pbc="T T T"
U 0.0000 0.0000 0.0000
U 1.4870 2.3280 0.9839
U 2.9739 0.0000 0.0000
U 4.4609 2.3280 6.9049
Sb 1.4870 0.0000 2.8972
Sb 1.4870 2.3280 5.8512
Sb 4.4609 0.0000 4.9917
Sb 4.4609 2.3280 2.0376
```

## Properties
- total magnetic moment (Bohr magnetons per cell) = 5.79
- E (Ry/atom) = -0.5605
- mass density (g/cm3) = 10.94

***

No. 11
First-principles (GGA-PBE) data for USb after structural relaxation, as listed in OQMD.

Structure (extended XYZ):
```
2
Lattice="0.0000 3.5244 3.5244 3.5244 0.0000 3.5244 3.5244 3.5244 0.0000" Properties=species:S:1:pos:R:3 pbc="T T T"
U 0.0000 0.0000 0.0000
Sb 1.7622 1.7622 1.7622
```

## Properties
- total magnetic moment (Bohr magnetons per cell) = 2.99
- E (Ry/atom) = -0.5132
- mass density (g/cm3) = 6.82

***

No. 12
First-principles (GGA-PBE) data for USb after structural relaxation, as listed in OQMD.

Structure (extended XYZ):
```
2
Lattice="3.7253 0.0000 0.0000 0.0000 3.7253 0.0000 0.0000 0.0000 3.7253" Properties=species:S:1:pos:R:3 pbc="T T T"
U 0.0000 0.0000 0.0000
Sb 1.8626 1.8626 1.8626
```

## Properties
- total magnetic moment (Bohr magnetons per cell) = 2.93
- E (Ry/atom) = -0.5813
- mass density (g/cm3) = 11.56

***

No. 13
First-principles (GGA-PBE) data for USb after structural relaxation, as listed in OQMD.

Structure (extended XYZ):
```
2
Lattice="3.2569 0.0000 0.0000 -1.6285 2.8206 0.0000 0.0000 0.0000 5.2669" Properties=species:S:1:pos:R:3 pbc="T T T"
U 0.0000 0.0000 0.0000
Sb 0.0000 1.8804 2.6334
```

## Properties
- total magnetic moment (Bohr magnetons per cell) = 1.93
- E (Ry/atom) = -0.5651
- mass density (g/cm3) = 12.35

***

No. 14
First-principles (GGA-PBE) data for USb after structural relaxation, as listed in OQMD.

Structure (extended XYZ):
```
2
Lattice="0.0000 3.0969 3.0969 3.0969 0.0000 3.0969 3.0969 3.0969 0.0000" Properties=species:S:1:pos:R:3 pbc="T T T"
U 0.0000 0.0000 0.0000
Sb 3.0969 3.0969 3.0969
```

## Properties
- total magnetic moment (Bohr magnetons per cell) = 2.76
- E (Ry/atom) = -0.5779
- mass density (g/cm3) = 10.06

***

No. 15
First-principles (GGA-PBE) data for USbW after structural relaxation, as listed in OQMD.

Structure (extended XYZ):
```
3
Lattice="0.0000 3.3653 3.3653 3.3653 0.0000 3.3653 3.3653 3.3653 0.0000" Properties=species:S:1:pos:R:3 pbc="T T T"
U 0.0000 0.0000 0.0000
Sb 5.0480 5.0480 5.0480
W 1.6826 1.6826 1.6826
```

## Properties
- total magnetic moment (Bohr magnetons per cell) = 0.00
- E (Ry/atom) = -0.6037
- mass density (g/cm3) = 11.84

***

No. 16
First-principles (GGA-PBE) data for SbW after structural relaxation, as listed in OQMD.

Structure (extended XYZ):
```
8
Lattice="5.3326 0.0000 0.0000 0.0000 4.4206 0.0000 0.0000 0.0000 7.4088" Properties=species:S:1:pos:R:3 pbc="T T T"
Sb 1.3332 0.0000 0.8722
Sb 1.3332 2.2103 5.5007
Sb 3.9995 0.0000 6.5366
Sb 3.9995 2.2103 1.9081
W 0.0000 0.0000 3.7044
W 1.3332 2.2103 2.6599
W 2.6663 0.0000 3.7044
W 3.9995 2.2103 4.7489
```

## Properties
- total magnetic moment (Bohr magnetons per cell) = 0.00
- E (Ry/atom) = -0.5978
- mass density (g/cm3) = 11.62

***

No. 17
First-principles (GGA-PBE) data for SbW2 after structural relaxation, as listed in OQMD.

Structure (extended XYZ):
```
6
Lattice="0.0000 3.8412 3.8412 3.8412 0.0000 3.8412 3.8412 3.8412 0.0000" Properties=species:S:1:pos:R:3 pbc="T T T"
Sb 0.9603 0.9603 0.9603
Sb 6.7221 6.7221 6.7221
W 3.8412 1.9206 1.9206
W 1.9206 3.8412 1.9206
W 1.9206 1.9206 3.8412
W 3.8412 3.8412 3.8412
```

## Properties
- total magnetic moment (Bohr magnetons per cell) = 0.00
- E (Ry/atom) = -0.6820
- mass density (g/cm3) = 14.34

***

No. 18
First-principles (GGA-PBE) data for SbW after structural relaxation, as listed in OQMD.

Structure (extended XYZ):
```
2
Lattice="0.0000 2.7866 2.7866 2.7866 0.0000 2.7866 2.7866 2.7866 0.0000" Properties=species:S:1:pos:R:3 pbc="T T T"
Sb 0.0000 0.0000 0.0000
W 2.7866 2.7866 2.7866
```

## Properties
- total magnetic moment (Bohr magnetons per cell) = 1.32
- E (Ry/atom) = -0.5302
- mass density (g/cm3) = 11.73

***

No. 19
First-principles (GGA-PBE) data for SbW2 after structural relaxation, as listed in OQMD.

Structure (extended XYZ):
```
6
Lattice="0.0000 6.2998 6.2998 6.2998 0.0000 6.2998 6.2998 6.2998 0.0000" Properties=species:S:1:pos:R:3 pbc="T T T"
Sb 1.5750 1.5750 1.5750
Sb 11.0247 11.0247 11.0247
W 0.0000 0.0000 0.0000
W 3.1499 3.1499 0.0000
W 3.1499 0.0000 3.1499
W 0.0000 3.1499 3.1499
```

## Properties
- total magnetic moment (Bohr magnetons per cell) = 18.00
- E (Ry/atom) = -0.4485
- mass density (g/cm3) = 3.25

***

No. 20
First-principles (GGA-PBE) data for YSbW after structural relaxation, as listed in OQMD.

Structure (extended XYZ):
```
3
Lattice="0.0000 3.3344 3.3344 3.3344 0.0000 3.3344 3.3344 3.3344 0.0000" Properties=species:S:1:pos:R:3 pbc="T T T"
Y 0.0000 0.0000 0.0000
Sb 1.6672 1.6672 1.6672
W 3.3344 3.3344 3.3344
```

## Properties
- total magnetic moment (Bohr magnetons per cell) = 0.02
- E (Ry/atom) = -0.5414
- mass density (g/cm3) = 8.84